No. 1
{
  "formula": "HoSnRh4",
  "functional": "PBE",
  "state": "optimized geometry",
  "cell": [[-2.903, 0.278, 2.463], [-0.216, -3.804, 0.175], [5.246, -0.009, 6.173]],
  "species": ["Ho", "Sn", "Rh", "Rh", "Rh", "Rh"],
  "fractional_positions": [[0.501, 0.497, 0.998], [0.001, 0.997, 0.498], [0.501, 0.997, 0.261], [0.502, 0.997, 0.735], [0.001, 0.498, 0.735], [0.001, 0.497, 0.261]],
  "spacegroup": "P4/mmm, No. 123",
  "density_g_cm3": 9.790,
  "formation_enthalpy_0k_ev_per_atom": -0.14,
  "relative_energy_kj_per_mol_atoms": 33.5,
  "dos_ef_per_ev_cell": 8.837
}

***

No. 2
{
  "formula": "InIr2C2",
  "functional": "PBE",
  "state": "optimized geometry",
  "cell": [[-0.074, 3.346, -0.186], [-3.335, -0.092, -0.324], [-2.314, 1.957, 5.918]],
  "species": ["C", "C", "Ir", "Ir", "In"],
  "fractional_positions": [[0.750, 0.250, 0.500], [0.250, 0.750, 0.500], [0.344, 0.344, 0.313], [0.656, 0.656, 0.687], [0.000, 0.000, 0.000]],
  "spacegroup": "I4/mmm, No. 139",
  "density_g_cm3": 12.447,
  "formation_enthalpy_0k_ev_per_atom": 0.72,
  "relative_energy_kj_per_mol_atoms": 0.0,
  "dos_ef_per_ev_cell": 1.690
}

***

No. 3
{
  "formula": "CaNdNi2H8",
  "functional": "PBE",
  "state": "optimized geometry",
  "cell": [[-3.667, -0.453, 2.758], [-0.592, -3.873, 2.432], [1.811, 1.017, 6.430]],
  "species": ["Ca", "Nd", "Ni", "Ni", "H", "H", "H", "H", "H", "H", "H", "H"],
  "fractional_positions": [[0.000, 0.000, 0.000], [0.500, 0.500, 0.500], [0.234, 0.234, 0.297], [0.766, 0.766, 0.703], [0.148, 0.148, 0.555], [0.448, 0.448, 0.178], [0.852, 0.852, 0.445], [0.926, 0.448, 0.178], [0.074, 0.552, 0.822], [0.448, 0.926, 0.178], [0.552, 0.074, 0.822], [0.552, 0.552, 0.822]],
  "spacegroup": "R-3m, No. 166",
  "density_g_cm3": 4.498,
  "dos_ef_per_ev_cell": 4.637,
  "energy_ha_per_atom": -0.1466
}

***

No. 4
{
  "formula": "LaMg4Cu2",
  "functional": "PBE",
  "state": "optimized geometry",
  "cell": [[-3.641, 2.202, 0.690], [-1.365, -1.011, -3.974], [-2.857, -6.267, 4.927]],
  "species": ["La", "Mg", "Mg", "Mg", "Mg", "Cu", "Cu"],
  "fractional_positions": [[0.000, 0.000, 0.000], [0.500, 0.823, 0.647], [0.000, 0.677, 0.355], [0.500, 0.177, 0.353], [0.000, 0.323, 0.645], [0.500, 0.575, 0.150], [0.500, 0.425, 0.850]],
  "spacegroup": "Cmmm, No. 65",
  "density_g_cm3": 3.953,
  "formation_enthalpy_0k_ev_per_atom": -0.12,
  "relative_energy_kj_per_mol_atoms": 1.1,
  "dos_ef_per_ev_cell": 3.692
}

***

No. 5
{
  "formula": "TbThAs2",
  "functional": "PBE",
  "state": "optimized geometry",
  "cell": [[4.182, 0.000, 0.000], [-2.091, 3.622, 0.000], [0.000, 0.000, 13.843]],
  "species": ["Tb", "Tb", "Th", "Th", "As", "As", "As", "As"],
  "fractional_positions": [[0.667, 0.333, 0.250], [0.333, 0.667, 0.750], [0.000, 0.000, 0.500], [0.000, 0.000, 0.000], [0.333, 0.667, 0.374], [0.667, 0.333, 0.874], [0.667, 0.333, 0.626], [0.333, 0.667, 0.126]],
  "spacegroup": "P6_3/mmc, No. 194",
  "density_g_cm3": 8.564,
  "formation_enthalpy_0k_ev_per_atom": -1.42,
  "relative_energy_kj_per_mol_atoms": 5.1,
  "dos_ef_per_ev_cell": 4.797
}

***

No. 6
{
  "formula": "Ce6BiRu",
  "functional": "PBE",
  "state": "optimized geometry",
  "cell": [[-1.402, -5.155, -3.396], [4.990, -3.312, -4.081], [3.852, -4.797, 2.167]],
  "species": ["Ce", "Ce", "Ce", "Ce", "Ce", "Ce", "Bi", "Ru"],
  "fractional_positions": [[0.722, 0.554, 0.526], [0.722, 0.080, 0.474], [0.278, 0.920, 0.526], [0.278, 0.446, 0.474], [0.699, 0.727, 0.000], [0.301, 0.273, 0.000], [0.000, 0.000, 0.000], [0.500, 0.500, 0.000]],
  "spacegroup": "C2/m, No. 12",
  "density_g_cm3": 9.002,
  "formation_enthalpy_0k_ev_per_atom": -0.06,
  "dos_ef_per_ev_cell": 19.489
}

***

No. 7
{
  "formula": "Li3MgCd7",
  "functional": "PBE",
  "state": "optimized geometry",
  "cell": [[3.054, 0.000, 0.000], [-1.527, 11.737, 0.000], [0.000, 0.000, 12.628]],
  "species": ["Li", "Li", "Li", "Li", "Li", "Li", "Mg", "Mg", "Cd", "Cd", "Cd", "Cd", "Cd", "Cd", "Cd", "Cd", "Cd", "Cd", "Cd", "Cd", "Cd", "Cd"],
  "fractional_positions": [[0.083, 0.166, 0.464], [0.917, 0.834, 0.536], [0.226, 0.452, 0.750], [0.774, 0.548, 0.250], [0.083, 0.166, 0.036], [0.917, 0.834, 0.964], [0.898, 0.797, 0.250], [0.102, 0.203, 0.750], [0.404, 0.808, 0.750], [0.596, 0.192, 0.250], [0.487, 0.973, 0.380], [0.513, 0.027, 0.620], [0.513, 0.027, 0.880], [0.487, 0.973, 0.120], [0.326, 0.653, 0.419], [0.674, 0.347, 0.581], [0.196, 0.391, 0.375], [0.804, 0.609, 0.625], [0.804, 0.609, 0.875], [0.196, 0.391, 0.125], [0.326, 0.653, 0.081], [0.674, 0.347, 0.919]],
  "spacegroup": "Cmcm, No. 63",
  "density_g_cm3": 6.104,
  "formation_enthalpy_0k_ev_per_atom": -0.15,
  "relative_energy_kj_per_mol_atoms": 0.0,
  "dos_ef_per_ev_cell": 8.497
}

***

No. 8
{
  "formula": "K2Bi2PdPt",
  "functional": "PBE",
  "state": "optimized geometry",
  "cell": [[-1.849, 2.405, 6.312], [-2.553, -6.398, 1.689], [9.075, -0.013, -1.221]],
  "species": ["K", "K", "K", "K", "Bi", "Bi", "Bi", "Bi", "Pd", "Pd", "Pt", "Pt"],
  "fractional_positions": [[0.414, 0.164, 0.328], [0.586, 0.836, 0.672], [0.086, 0.336, 0.672], [0.914, 0.664, 0.328], [0.835, 0.082, 0.164], [0.329, 0.582, 0.164], [0.671, 0.418, 0.836], [0.165, 0.918, 0.836], [0.500, 0.750, 0.000], [0.500, 0.250, 0.000], [0.000, 0.750, 0.000], [0.000, 0.250, 0.000]],
  "spacegroup": "Ibam, No. 72",
  "density_g_cm3": 6.943,
  "formation_enthalpy_0k_ev_per_atom": -0.30,
  "dos_ef_per_ev_cell": 9.633
}

***

No. 9
{
  "formula": "Ho4Mg5Al2",
  "functional": "PBE",
  "state": "optimized geometry",
  "cell": [[-2.021, -0.849, -2.680], [4.352, -6.577, -1.198], [-6.479, -4.543, 6.325]],
  "species": ["Ho", "Ho", "Ho", "Ho", "Mg", "Mg", "Mg", "Mg", "Mg", "Al", "Al"],
  "fractional_positions": [[0.500, 0.735, 0.556], [0.500, 0.157, 0.875], [0.500, 0.265, 0.444], [0.500, 0.843, 0.125], [0.000, 0.572, 0.298], [0.000, 0.191, 0.164], [0.000, 0.500, 0.000], [0.000, 0.809, 0.836], [0.000, 0.428, 0.702], [0.000, 0.055, 0.629], [0.000, 0.945, 0.371]],
  "spacegroup": "P2/m, No. 10",
  "density_g_cm3": 4.970,
  "formation_enthalpy_0k_ev_per_atom": -0.14,
  "dos_ef_per_ev_cell": 9.419
}

***

No. 10
{
  "formula": "LiTa2Br",
  "functional": "PBE",
  "state": "optimized geometry",
  "cell": [[-0.636, 3.788, -3.870], [1.469, -1.842, -2.044], [-4.270, -1.629, -0.893]],
  "species": ["Br", "Li", "Ta", "Ta"],
  "fractional_positions": [[0.500, 0.250, 0.250], [0.500, 0.750, 0.750], [0.000, 0.017, 0.978], [0.000, 0.483, 0.522]],
  "spacegroup": "P2/m, No. 10",
  "density_g_cm3": 9.455,
  "relative_energy_kj_per_mol_atoms": 36.7,
  "dos_ef_per_ev_cell": 3.613,
  "formation_energy_uncorrected_ev_per_fu": 1.75
}

***

No. 11
{
  "formula": "RbNaCa2Pt",
  "functional": "PBE",
  "state": "optimized geometry",
  "cell": [[-0.950, 1.032, -5.438], [-4.700, -3.065, 0.239], [-3.221, 5.059, 1.523]],
  "species": ["Na", "Ca", "Ca", "Rb", "Pt"],
  "fractional_positions": [[0.000, 0.000, 0.500], [0.000, 0.500, 0.000], [0.500, 0.000, 0.000], [0.500, 0.500, 0.500], [0.000, 0.000, 0.000]],
  "spacegroup": "P4/mmm, No. 123",
  "density_g_cm3": 3.264,
  "formation_enthalpy_0k_ev_per_atom": -0.27,
  "relative_energy_kj_per_mol_atoms": 0.0,
  "dos_ef_per_ev_cell": 2.023
}

***

No. 12
{
  "formula": "Sm2EuMg",
  "functional": "PBE",
  "state": "optimized geometry",
  "cell": [[-0.433, 2.964, -1.818], [-3.110, 1.614, -0.004], [2.333, 8.322, 9.636]],
  "species": ["Eu", "Mg", "Sm", "Sm"],
  "fractional_positions": [[0.500, 0.500, 0.500], [0.000, 0.000, 0.000], [0.086, 0.086, 0.741], [0.914, 0.914, 0.259]],
  "spacegroup": "R-3m, No. 166",
  "density_g_cm3": 5.827,
  "formation_enthalpy_0k_ev_per_atom": 0.27,
  "relative_energy_kj_per_mol_atoms": 25.6,
  "dos_ef_per_ev_cell": 4.270
}

***

Q: Which formula does entry 7 have?
A: Li3MgCd7

***

Q: Which formula does entry 2 have?
A: InIr2C2